VASP calculation (PBE) on an optimized crystal structure of Nd3HoSn2.

crystal system: tetragonal
final energy: -5.057 eV/atom
total magnetic moment: 0.00 μB per formula unit
space group: P-4m2
formation energy from the elements: -3.5 eV per formula unit
polymorph energy (0 for the lowest one): 0.002 eV per atom

Cell lengths 4.6355, 4.6355, 8.7325 Å; angles 90.00, 90.00, 90.00 degrees
Closest atoms and distances in Å follow each position.
Element x y z (fractional)
Sn  0.0000  0.5000  0.2762  7 Nd 3.27-3.35, 2 Ho 3.35
Nd  0.0000  0.5000  0.6505  5 Sn 3.27-3.34
Sn  0.5000  0.0000  0.7238  7 Nd 3.27-3.35, 2 Ho 3.35
Ho  0.5000  0.5000  0.0000  4 Nd 3.28, 4 Sn 3.35
Nd  0.0000  0.0000  0.0000  4 Ho 3.28, 4 Sn 3.35
Nd  0.5000  0.0000  0.3495  5 Sn 3.27-3.34

VASP calculation (PBE) on an optimized crystal structure of La6SiP2Se3.

crystal system: monoclinic
final energy: -6.388 eV/atom
uncorrected formation energy: -1.7000 eV/atom
total magnetic moment: 0.00 μB per formula unit
space group: C2/m

Cell lengths 4.3145, 8.6678, 9.6947 Å; angles 103.47, 102.86, 90.00 degrees
Closest atoms and distances in Å follow each position.
Element x y z (fractional)
Se  0.8331  0.1682  0.6661  6 La 3.11-3.13
La  0.6703  0.5739  0.3405  3 P 2.97-2.98, 3 Se 3.12-3.13
Se  0.1669  0.8318  0.3339  6 La 3.11-3.13
Si  0.5000  0.0000  0.0000  6 La 3.01
La  0.3361  0.9082  0.6722  2 P 3.01, 1 Si 3.01, 3 Se 3.11-3.13
Se  0.5000  0.5000  0.0000  6 La 3.10-3.13
P  0.8321  0.6649  0.6642  6 La 2.97-3.02
La  0.0034  0.2443  0.0067  2 Si 3.01, 1 P 3.02, 3 Se 3.10-3.13
La  0.3297  0.4261  0.6595  3 P 2.97-2.98, 3 Se 3.12-3.13
La  0.6639  0.0918  0.3278  2 P 3.01, 1 Si 3.01, 3 Se 3.11-3.13
P  0.1679  0.3351  0.3358  6 La 2.97-3.02
La  0.9966  0.7557  0.9933  2 Si 3.01, 1 P 3.02, 3 Se 3.10-3.13

VASP calculation (PBE) on an optimized crystal structure of Th2Ga4Cu3Rh.

crystal system: tetragonal
final energy: -5.168 eV/atom
total magnetic moment: 0.00 μB per formula unit
space group: P-4m2
formation energy from the elements: -5.1 eV per formula unit

Cell lengths 4.2629, 4.2629, 10.0065 Å; angles 90.00, 90.00, 90.00 degrees
Closest atoms and distances in Å follow each position.
Element x y z (fractional)
Th  0.0000  0.5000  0.7440  8 Ga 3.22-3.33, 2 Rh 3.24, 6 Cu 3.24-3.27
Cu  0.5000  0.0000  0.8718  5 Ga 2.40-2.49
Cu  0.0000  0.0000  0.5000  4 Ga 2.51
Th  0.5000  0.0000  0.2560  8 Ga 3.22-3.33, 2 Rh 3.24, 6 Cu 3.24-3.27
Ga  0.0000  0.0000  0.0000  4 Cu 2.49
Ga  0.5000  0.5000  0.0000  4 Cu 2.49
Rh  0.5000  0.5000  0.5000  4 Ga 2.51
Cu  0.0000  0.5000  0.1282  5 Ga 2.40-2.49
Ga  0.0000  0.5000  0.3684  3 Cu 2.40-2.51, 2 Rh 2.51
Ga  0.5000  0.0000  0.6316  3 Cu 2.40-2.51, 2 Rh 2.51

VASP calculation (PBE) on an optimized crystal structure of CaReTcF2.

crystal system: tetragonal
final energy: -6.043 eV/atom
uncorrected formation energy: -0.3317 eV/atom
total magnetic moment: 0.94 μB per formula unit
space group: P4/mmm

Cell lengths 4.2795, 4.8386, 4.2795 Å; angles 90.00, 90.00, 90.00 degrees
Closest atoms and distances in Å follow each position.
Element x y z (fractional)
F  0.0000  0.0000  0.5000  2 Tc 2.14
Ca  0.5000  0.5000  0.5000  4 Re 3.03, 8 F 3.23
Re  0.0000  0.5000  0.0000  2 Tc 2.42
Tc  0.0000  0.0000  0.0000  4 F 2.14
F  0.5000  0.0000  0.0000  2 Tc 2.14

How do the records compare in N(E_F)? In the order shown, they have 1.2712; 0.3431; 0.6543; 0.9169 states/eV/atom.